Entry from the Alexandria database: a relaxed structure of NaPm6S8 (PBE).

Calculated volume = 33.6 Å³/atom
VASP energy = -5.946 eV/atom
Distance to the lowest polymorph of the same formula = 220 meV per atom

Geometry as CIF:
```
data_NaPm6S8
_chemical_formula_sum 'Na3 Pm18 S24'
_cell_length_a 12.1202
_cell_length_b 12.1202
_cell_length_c 11.8860
_cell_angle_alpha 90.00
_cell_angle_beta 90.00
_cell_angle_gamma 120.00
_space_group_name_H-M_alt 'R -3'
_space_group_IT_number 148
_space_group_name_Hall '-R 3'
loop_
_atom_site_label
_atom_site_type_symbol
_atom_site_fract_x
_atom_site_fract_y
_atom_site_fract_z
Na1 Na 0.0000 0.0000 0.0000
Pm1 Pm 0.0013 0.8174 0.6337
S1 S 0.0000 0.0000 0.2259
S2 S 0.0014 0.2575 0.5909
```


Entry from the Alexandria database: a relaxed structure of AlCu2W (PBE).

Calculated volume = 14.0 Å³/atom
Energy relative to the elements = 0.194 eV per atom
VASP energy = -6.028 eV/atom

Geometry as CIF:
```
data_AlCu2W
_chemical_formula_sum 'Al1 Cu2 W1'
_cell_length_a 2.8642
_cell_length_b 4.4201
_cell_length_c 4.4242
_cell_angle_alpha 90.00
_cell_angle_beta 90.00
_cell_angle_gamma 90.00
_space_group_name_H-M_alt 'P m m m'
_space_group_IT_number 47
loop_
_space_group_symop_operation_xyz
'x,y,z'
'-x,-y,-z'
'-x,-y,z'
'x,y,-z'
'x,-y,-z'
'-x,y,z'
'-x,y,-z'
'x,-y,z'
loop_
_atom_site_label
_atom_site_type_symbol
_atom_site_fract_x
_atom_site_fract_y
_atom_site_fract_z
Al1 Al 0.0000 0.0000 0.0000
Cu1 Cu 0.0000 0.5000 0.5000
Cu2 Cu 0.5000 0.5000 0.0000
W1 W 0.5000 0.0000 0.5000
```


Entry from the Alexandria database: a relaxed structure of MnOsPb2 (PBE).

Calculated volume = 20.8 Å³/atom
Energy relative to the elements = 0.859 eV per atom
VASP energy = -6.095 eV/atom
Distance to the lowest polymorph of the same formula = 483 meV per atom

Geometry as CIF:
```
data_MnOsPb2
_chemical_formula_sum 'Mn3 Os3 Pb6'
_cell_length_a 3.2964
_cell_length_b 3.2964
_cell_length_c 26.5312
_cell_angle_alpha 90.00
_cell_angle_beta 90.00
_cell_angle_gamma 120.00
_space_group_name_H-M_alt 'R -3 m'
_space_group_IT_number 166
_space_group_name_Hall '-R 3 2"'
loop_
_atom_site_label
_atom_site_type_symbol
_atom_site_fract_x
_atom_site_fract_y
_atom_site_fract_z
Mn1 Mn 0.0000 0.0000 0.0000
Os1 Os 0.0000 0.0000 0.5000
Pb1 Pb 0.0000 0.0000 0.2459
```


Entry from the Alexandria database: a relaxed structure of Tl2AgCl2F2 (PBE).

Calculated volume = 24.7 Å³/atom
VASP energy = -3.272 eV/atom

Geometry as CIF:
```
data_Tl2AgCl2F2
_chemical_formula_sum 'Tl2 Ag1 Cl2 F2'
_cell_length_a 4.0093
_cell_length_b 6.1181
_cell_length_c 7.5430
_cell_angle_alpha 71.64
_cell_angle_beta 80.91
_cell_angle_gamma 83.50
_space_group_name_H-M_alt 'P -1'
_space_group_IT_number 2
loop_
_space_group_symop_operation_xyz
'x,y,z'
'-x,-y,-z'
loop_
_atom_site_label
_atom_site_type_symbol
_atom_site_fract_x
_atom_site_fract_y
_atom_site_fract_z
Tl1 Tl 0.1396 0.3733 0.2683
Ag1 Ag 0.5000 0.0000 0.0000
Cl1 Cl 0.4821 0.2226 0.6709
F1 F 0.2526 0.7259 0.9542
```


Question: What is the formula in the second record?
Answer: AlCu2W